This record from Alexandria via LeMat-Bulk describes an optimized crystal structure of TaPOs2. The functional is GGA-PBE.

It has space group Cmmm (No. 65), with a = 5.754 Å, b = 6.791 Å, c = 3.059 Å, α = 90.00°, β = 90.00° and γ = 90.00°. Symmetry generates all atoms from Ta at (0.000, 0.000, 0.000), P at (0.000, 0.500, 0.000) and Os at (0.250, 0.250, 0.500).

The density of states at the Fermi level is 0.610 states/eV per atom. For the volume, the calculation gives 14.94 Å³/atom. For the formation enthalpy at 0 K, the calculation gives 132 meV/atom. The total energy comes out at -78.39 eV per cell. The total magnetization is 0.00 μB per formula unit.